Below is a relaxed structure of SmNbP2, with properties calculated at the PBE level.

a b c (Å): 3.797 3.797 6.686
angles (deg): 73.51 73.51 60.00
Sites, in units of the cell vectors:
Nb: 0.000 0.000 0.000
P: 0.261 0.261 0.218
P: 0.739 0.739 0.782
Sm: 0.500 0.500 0.500

Symmetry: No. 166
ΔH_f (0 K) (eV per atom): -1.09

***

Below is a relaxed structure of Nb2Sn2P, with properties calculated at the PBE level.

a b c (Å): 6.601 6.601 4.627
angles (deg): 90.00 90.00 90.00
Sites, in units of the cell vectors:
Nb: 0.152 0.348 0.000
Nb: 0.348 0.848 0.000
Nb: 0.848 0.652 0.000
Nb: 0.652 0.152 0.000
Sn: 0.338 0.162 0.500
Sn: 0.662 0.838 0.500
Sn: 0.838 0.338 0.500
Sn: 0.162 0.662 0.500
P: 0.500 0.500 0.000
P: 0.000 0.000 0.000

Symmetry: No. 127
ΔH_f (0 K) (eV per atom): -0.12

***

Below is a relaxed structure of NbSn3P, with properties calculated at the PBE level.

a b c (Å): 5.396 5.396 5.396
angles (deg): 90.00 90.00 90.00
Sites, in units of the cell vectors:
P: 0.500 0.500 0.500
Sn: 0.000 0.500 0.000
Sn: 0.000 0.000 0.500
Sn: 0.500 0.000 0.000
Nb: 0.000 0.000 0.000

Symmetry: No. 221
ΔH_f (0 K) (eV per atom): 0.80

***

Below is a relaxed structure of NbSnP2, with properties calculated at the PBE level.

a b c (Å): 3.459 3.459 7.697
angles (deg): 77.01 77.01 60.00
Sites, in units of the cell vectors:
Nb: 0.666 0.666 0.002
P: 0.261 0.261 0.218
P: 0.070 0.070 0.790
Sn: 0.503 0.503 0.490

Symmetry: No. 160
ΔH_f (0 K) (eV per atom): -0.29

***

Below is a relaxed structure of NbSn2P, with properties calculated at the PBE level.

a b c (Å): 7.704 7.704 6.166
angles (deg): 51.34 51.34 90.00
Sites, in units of the cell vectors:
Sn: 0.375 0.395 0.750
Sn: 0.875 0.855 0.750
Sn: 0.145 0.625 0.250
Sn: 0.605 0.125 0.250
P: 0.250 0.750 0.500
P: 0.500 0.500 0.000
Nb: 0.000 0.000 0.000
Nb: 0.750 0.250 0.500

Symmetry: No. 122
ΔH_f (0 K) (eV per atom): 0.43

***

Below is a relaxed structure of Nb2SnP2, with properties calculated at the PBE level.

a b c (Å): 7.396 7.396 3.194
angles (deg): 90.00 90.00 90.00
Sites, in units of the cell vectors:
Nb: 0.646 0.146 0.000
Nb: 0.146 0.354 0.000
Nb: 0.354 0.854 0.000
Nb: 0.854 0.646 0.000
P: 0.364 0.136 0.500
P: 0.136 0.636 0.500
P: 0.636 0.864 0.500
P: 0.864 0.364 0.500
Sn: 0.000 0.000 0.000
Sn: 0.500 0.500 0.000

Symmetry: No. 127
ΔH_f (0 K) (eV per atom): -0.43

***

Below is a relaxed structure of NbSnP2, with properties calculated at the PBE level.

a b c (Å): 5.907 5.907 7.235
angles (deg): 65.91 65.91 90.00
Sites, in units of the cell vectors:
Sn: 0.750 0.250 0.500
Sn: 0.000 0.000 0.000
Nb: 0.500 0.500 0.000
Nb: 0.250 0.750 0.500
P: 0.585 0.125 0.250
P: 0.375 0.415 0.750
P: 0.165 0.625 0.250
P: 0.875 0.835 0.750

Symmetry: No. 122
ΔH_f (0 K) (eV per atom): 0.05

***

Below is a relaxed structure of NbSn3P, with properties calculated at the PBE level.

a b c (Å): 5.040 5.040 5.040
angles (deg): 90.00 90.00 90.00
Sites, in units of the cell vectors:
Sn: 0.000 0.000 0.500
Sn: 0.500 0.000 0.000
Sn: 0.000 0.500 0.000
Nb: 0.500 0.500 0.500
P: 0.000 0.000 0.000

Symmetry: No. 221
ΔH_f (0 K) (eV per atom): 0.99

***

Below is a relaxed structure of NbSnP, with properties calculated at the PBE level.

a b c (Å): 3.795 3.795 8.010
angles (deg): 90.00 90.00 90.00
Sites, in units of the cell vectors:
Sn: 0.500 0.500 0.000
Sn: 0.000 0.000 0.000
P: 0.000 0.500 0.389
P: 0.500 0.000 0.611
Nb: 0.500 0.000 0.286
Nb: 0.000 0.500 0.714

Symmetry: No. 129
ΔH_f (0 K) (eV per atom): -0.07

***

Below is a relaxed structure of NbTc2SnP, with properties calculated at the PBE level.

a b c (Å): 4.860 4.710 4.860
angles (deg): 90.00 90.00 90.00
Sites, in units of the cell vectors:
Tc: 0.000 0.000 0.500
Tc: 0.500 0.000 0.000
P: 0.000 0.500 0.000
Sn: 0.500 0.500 0.500
Nb: 0.000 0.000 0.000

Symmetry: No. 123
ΔH_f (0 K) (eV per atom): 1.25

***

Below is a relaxed structure of YNbSn2P, with properties calculated at the PBE level.

a b c (Å): 5.099 5.041 5.099
angles (deg): 90.00 90.00 90.00
Sites, in units of the cell vectors:
P: 0.000 0.000 0.000
Sn: 0.000 0.000 0.500
Sn: 0.500 0.000 0.000
Y: 0.000 0.500 0.000
Nb: 0.500 0.500 0.500

Symmetry: No. 123
ΔH_f (0 K) (eV per atom): 0.55

***

Below is a relaxed structure of SrNbP2, with properties calculated at the PBE level.

a b c (Å): 4.802 4.802 4.802
angles (deg): 60.00 60.00 60.00
Sites, in units of the cell vectors:
P: 0.750 0.750 0.750
P: 0.250 0.250 0.250
Sr: 0.000 0.000 0.000
Nb: 0.500 0.500 0.500

Symmetry: No. 225
ΔH_f (0 K) (eV per atom): -0.23